No. 1
Material: RbBa2Cd6
Method: DFT, PBE-GGA
State: optimized geometry

The space group is P6/mmm (No. 191) and the conventional cell measures 9.0391, 9.0391 and 4.4490 Å, with angles of 90.00, 90.00 and 120.00 degrees. Symmetry generates all atoms from Rb at (0.0000, 0.0000, 0.0000), Ba at (0.3333, 0.6667, 0.0000) and Cd at (0.0000, 0.3338, 0.5000).

For the theoretical density, the calculation gives 5.46 g/cm³. As for the total energy: -1.36 eV per atom. As for the total magnetization: 0.00 μB/f.u. Its density of states at the Fermi level is 5.63 states/eV/cell. The calculation puts the calculated formation energy at -0.215 eV/atom.

No. 2
Material: RbBa2CdRh
Method: DFT, PBE-GGA
State: optimized geometry

The space group is P4/mmm (No. 123) and the conventional cell measures 6.0564, 6.0564 and 5.6452 Å, with angles of 90.00, 90.00 and 90.00 degrees. Symmetry generates all atoms from Rb at (0.0000, 0.0000, 0.0000), Ba at (0.0000, 0.5000, 0.5000), Cd at (0.5000, 0.5000, 0.0000) and Rh at (0.5000, 0.5000, 0.5000).

For the theoretical density, the calculation gives 4.61 g/cm³. As for the total energy: -2.70 eV per atom. As for the total magnetization: 0.00 μB/f.u. Its density of states at the Fermi level is 3.52 states/eV/cell. The calculation puts the calculated formation energy at -0.085 eV/atom.

No. 3
Material: RbBaCd2Se
Method: DFT, PBE-GGA
State: optimized geometry

The space group is P4/mmm (No. 123) and the conventional cell measures 6.0131, 6.0131 and 6.1984 Å, with angles of 90.00, 90.00 and 90.00 degrees. Symmetry generates all atoms from Rb at (0.0000, 0.0000, 0.0000), Ba at (0.5000, 0.5000, 0.5000), Cd at (0.0000, 0.5000, 0.0000) and Se at (0.0000, 0.0000, 0.5000).

The calculation puts the uncorrected formation energy at -29 kJ/mol of formula units. For the theoretical density, the calculation gives 3.90 g/cm³. As for the total energy: -1.70 eV per atom. As for the total magnetization: 0.00 μB/f.u. Its density of states at the Fermi level is 2.23 states/eV/cell. For the energy above the most stable polymorph in this dataset, the calculation gives 0.1669 eV per atom.

No. 4
Material: RbBaCd2Se
Method: DFT, PBE-GGA
State: optimized geometry

The space group is P4/mmm (No. 123) and the conventional cell measures 6.2672, 6.2672 and 6.0095 Å, with angles of 90.00, 90.00 and 90.00 degrees. Symmetry generates all atoms from Rb at (0.0000, 0.0000, 0.0000), Ba at (0.5000, 0.5000, 0.0000), Cd at (0.0000, 0.5000, 0.5000) and Se at (0.5000, 0.5000, 0.5000).

The calculation puts the uncorrected formation energy at -110 kJ/mol of formula units. For the theoretical density, the calculation gives 3.70 g/cm³. As for the total energy: -1.87 eV per atom. As for the total magnetization: 0.00 μB/f.u. Its density of states at the Fermi level is 3.79 states/eV/cell. For the energy above the most stable polymorph in this dataset, the calculation gives 0.0000 eV per atom.

No. 5
Material: RbBa2Cd2Sn2
Method: DFT, PBE-GGA
State: optimized geometry

The space group is R-3m (No. 166, hexagonal axes) and the conventional cell measures 5.2311, 5.2311 and 34.8224 Å, with angles of 90.00, 90.00 and 120.00 degrees. Symmetry generates all atoms from Rb at (0.0000, 0.0000, 0.0000), Ba at (0.0000, 0.0000, 0.1306), Cd at (0.0000, 0.0000, 0.4105) and Sn at (0.0000, 0.0000, 0.2513).

For the theoretical density, the calculation gives 4.96 g/cm³. As for the total energy: -2.43 eV per atom. As for the total magnetization: 0.45 μB/f.u. Its density of states at the Fermi level is 7.76 states/eV/cell. The calculation puts the calculated formation energy at -0.335 eV/atom.

No. 6
Material: RbBaCd2Sn
Method: DFT, PBE-GGA
State: optimized geometry

The space group is P4/mmm (No. 123) and the conventional cell measures 6.6210, 6.6210 and 6.3266 Å, with angles of 90.00, 90.00 and 90.00 degrees. Symmetry generates all atoms from Rb at (0.0000, 0.0000, 0.0000), Ba at (0.5000, 0.5000, 0.5000), Cd at (0.0000, 0.5000, 0.5000) and Sn at (0.5000, 0.5000, 0.0000).

For the theoretical density, the calculation gives 3.39 g/cm³. As for the total energy: -1.46 eV per atom. As for the total magnetization: 0.00 μB/f.u. Its density of states at the Fermi level is 5.13 states/eV/cell. The calculation puts the calculated formation energy at 0.288 eV/atom.

No. 7
Material: RbBa2SrCd
Method: DFT, PBE-GGA
State: optimized geometry

The space group is P4/mmm (No. 123) and the conventional cell measures 6.8486, 6.8486 and 6.6791 Å, with angles of 90.00, 90.00 and 90.00 degrees. Symmetry generates all atoms from Rb at (0.0000, 0.0000, 0.0000), Ba at (0.0000, 0.5000, 0.5000), Sr at (0.5000, 0.5000, 0.0000) and Cd at (0.5000, 0.5000, 0.5000).

For the theoretical density, the calculation gives 2.97 g/cm³. As for the total energy: -1.50 eV per atom. As for the total magnetization: 0.00 μB/f.u. Its density of states at the Fermi level is 4.98 states/eV/cell. The calculation puts the calculated formation energy at -0.015 eV/atom.

No. 8
Material: Rb2BaCd2Te4
Method: DFT, PBE-GGA
State: optimized geometry

The space group is C2/m (No. 12) and the conventional cell measures 18.2999, 4.7777 and 9.0477 Å, with angles of 90.00, 110.27 and 90.00 degrees. Symmetry generates all atoms from Rb at (0.1239, 0.0000, 0.0530), Ba at (0.0000, 0.0000, 0.5000), Cd at (0.1717, 0.5000, 0.4777), Te at (0.0237, 0.5000, 0.2424) and Te at (0.2101, 0.0000, 0.6825).

The calculation puts the uncorrected formation energy at -854 kJ/mol of formula units. For the theoretical density, the calculation gives 4.67 g/cm³. As for the total energy: -3.01 eV per atom. As for the total magnetization: 0.00 μB/f.u.

No. 9
Material: Ba3CdRe
Method: DFT, PBE-GGA
State: optimized geometry

The space group is Pm-3m (No. 221) and the conventional cell measures 5.9915, 5.9915 and 5.9915 Å, with angles of 90.00, 90.00 and 90.00 degrees. Symmetry generates all atoms from Ba at (0.0000, 0.0000, 0.5000), Cd at (0.5000, 0.5000, 0.5000) and Re at (0.0000, 0.0000, 0.0000).

For the theoretical density, the calculation gives 5.49 g/cm³. As for the total energy: -3.24 eV per atom. As for the total magnetization: 0.00 μB/f.u. Its density of states at the Fermi level is 5.32 states/eV/cell. For the energy above the most stable polymorph in this dataset, the calculation gives 0.0000 eV per atom. The calculation puts the calculated formation energy at 0.581 eV/atom.

No. 10
Material: BaCd2Re
Method: DFT, PBE-GGA
State: optimized geometry

The space group is Pmmm (No. 47) and the conventional cell measures 3.0621, 4.2419 and 7.4583 Å, with angles of 90.00, 90.00 and 90.00 degrees. Symmetry generates all atoms from Ba at (0.0000, 0.0000, 0.0000), Cd at (0.5000, 0.5000, 0.3131) and Re at (0.0000, 0.0000, 0.5000).

For the theoretical density, the calculation gives 9.40 g/cm³. As for the total energy: -3.44 eV per atom. As for the total magnetization: 0.35 μB/f.u. Its density of states at the Fermi level is 3.71 states/eV/cell. For the energy above the most stable polymorph in this dataset, the calculation gives 0.0000 eV per atom. The calculation puts the calculated formation energy at 0.614 eV/atom.

No. 11
Material: Ba4CdRe
Method: DFT, PBE-GGA
State: optimized geometry

The space group is F-43m (No. 216) and the conventional cell measures 9.9565, 9.9565 and 9.9565 Å, with angles of 90.00, 90.00 and 90.00 degrees. Symmetry generates all atoms from Ba at (0.1244, 0.1244, 0.3756), Cd at (0.0000, 0.0000, 0.0000) and Re at (0.2500, 0.2500, 0.7500).

For the theoretical density, the calculation gives 5.71 g/cm³. As for the total energy: -2.30 eV per atom. As for the total magnetization: 2.03 μB/f.u. Its density of states at the Fermi level is 32.82 states/eV/cell. The calculation puts the calculated formation energy at 1.213 eV/atom.

No. 12
Material: BaCd2Re
Method: DFT, PBE-GGA
State: optimized geometry

The space group is Cm (No. 8) and the conventional cell measures 9.6724, 3.0414 and 7.1634 Å, with angles of 90.00, 96.78 and 90.00 degrees. Symmetry generates all atoms from Ba at (0.0000, 0.0000, 0.0000), Cd at (0.2415, 0.0000, 0.6512), Cd at (0.4932, 0.0000, 0.4383) and Re at (0.2524, 0.5000, 0.3096).

For the theoretical density, the calculation gives 8.70 g/cm³. As for the total energy: -3.33 eV per atom. As for the total magnetization: 0.00 μB/f.u. Its density of states at the Fermi level is 7.20 states/eV/cell. For the energy above the most stable polymorph in this dataset, the calculation gives 0.1090 eV per atom. The calculation puts the calculated formation energy at 0.723 eV/atom.